No. 1
The following is a meta-GGA SCAN calculation of Tm2Pd2Pb at its PBEsol-relaxed geometry, from the Alexandria database.

- ρ: 12044 kg/m³
- VASP energy: -49.9753 eV per atom
- Energy of formation: -0.977 eV per atom

Structure (CIF):
```
data_Tm2Pd2Pb
_chemical_formula_sum 'Tm4 Pd4 Pb2'
_cell_length_a 7.765
_cell_length_b 7.765
_cell_length_c 3.466
_cell_angle_alpha 90.00
_cell_angle_beta 90.00
_cell_angle_gamma 90.00
_symmetry_space_group_name_H-M 'P 4/m b m'
_symmetry_Int_Tables_number 127
_symmetry_space_group_name_Hall '-P 4 2ab'
loop_
_atom_site_label
_atom_site_type_symbol
_atom_site_fract_x
_atom_site_fract_y
_atom_site_fract_z
Tm1 Tm 0.169 0.331 0.000
Pd1 Pd 0.126 0.626 0.500
Pb1 Pb 0.000 0.000 0.500
```


No. 2
The following is a meta-GGA SCAN calculation of Be2Ru2C at its PBEsol-relaxed geometry, from the Alexandria database.

- ρ: 6261 kg/m³
- VASP energy: -16.0726 eV per atom
- Energy of formation: 1.619 eV per atom

Structure (CIF):
```
data_Be2Ru2C
_chemical_formula_sum 'Be4 Ru4 C2'
_cell_length_a 3.389
_cell_length_b 3.389
_cell_length_c 10.720
_cell_angle_alpha 90.00
_cell_angle_beta 90.00
_cell_angle_gamma 90.00
_symmetry_space_group_name_H-M 'I 4/m m m'
_symmetry_Int_Tables_number 139
_symmetry_space_group_name_Hall '-I 4 2'
loop_
_atom_site_label
_atom_site_type_symbol
_atom_site_fract_x
_atom_site_fract_y
_atom_site_fract_z
Be1 Be 0.000 0.000 0.095
Ru1 Ru 0.000 0.500 0.250
C1 C 0.000 0.000 0.500
```


No. 3
The following is a meta-GGA SCAN calculation of Re2Rh3 at its PBEsol-relaxed geometry, from the Alexandria database.

- Energy above the most stable polymorph in this dataset: 0.642 eV/atom
- ρ: 14398 kg/m³
- VASP energy: -48.1848 eV per atom
- Energy of formation: 0.517 eV per atom

Structure (CIF):
```
data_Re2Rh3
_chemical_formula_sum 'Re2 Rh3'
_cell_length_a 4.1672
_cell_length_b 4.1672
_cell_length_c 5.2235
_cell_angle_alpha 90.00
_cell_angle_beta 90.00
_cell_angle_gamma 120.00
_symmetry_space_group_name_H-M 'P -3 m 1'
_symmetry_Int_Tables_number 164
_symmetry_space_group_name_Hall '-P 3 2"'
loop_
_atom_site_label
_atom_site_type_symbol
_atom_site_fract_x
_atom_site_fract_y
_atom_site_fract_z
Re1 Re 0.3333 0.6667 0.3571
Rh1 Rh 0.0000 0.0000 0.5000
Rh2 Rh 0.3333 0.6667 0.8720
```


No. 4
The following is a meta-GGA SCAN calculation of CsTiMo2C at its PBEsol-relaxed geometry, from the Alexandria database.

- ρ: 5698 kg/m³
- VASP energy: -22.5128 eV per atom
- Energy of formation: 4.229 eV per atom

Structure (CIF):
```
data_CsTiMo2C
_chemical_formula_sum 'Cs1 Ti1 Mo2 C1'
_cell_length_a 4.818
_cell_length_b 4.818
_cell_length_c 4.829
_cell_angle_alpha 90.00
_cell_angle_beta 90.00
_cell_angle_gamma 90.00
_symmetry_space_group_name_H-M 'P 4/m m m'
_symmetry_Int_Tables_number 123
_symmetry_space_group_name_Hall '-P 4 2'
loop_
_atom_site_label
_atom_site_type_symbol
_atom_site_fract_x
_atom_site_fract_y
_atom_site_fract_z
Cs1 Cs 0.000 0.000 0.000
Ti1 Ti 0.000 0.000 0.500
Mo1 Mo 0.000 0.500 0.000
C1 C 0.500 0.500 0.500
```


No. 5
The following is a meta-GGA SCAN calculation of Cr2CuTc at its PBEsol-relaxed geometry, from the Alexandria database.

- ρ: 9098 kg/m³
- VASP energy: -21.4252 eV per atom
- Energy of formation: 0.332 eV per atom

Structure (CIF):
```
data_Cr2CuTc
_chemical_formula_sum 'Cr2 Cu1 Tc1'
_cell_length_a 2.479
_cell_length_b 2.479
_cell_length_c 7.884
_cell_angle_alpha 90.00
_cell_angle_beta 90.00
_cell_angle_gamma 90.00
_symmetry_space_group_name_H-M 'P 4 m m'
_symmetry_Int_Tables_number 99
loop_
_symmetry_equiv_pos_as_xyz
'x,y,z'
'-y,x,z'
'-x,-y,z'
'y,-x,z'
'-x,y,z'
'y,x,z'
'x,-y,z'
'-y,-x,z'
loop_
_atom_site_label
_atom_site_type_symbol
_atom_site_fract_x
_atom_site_fract_y
_atom_site_fract_z
Cr1 Cr 0.000 0.000 0.000
Cr2 Cr 0.500 0.500 0.238
Cu1 Cu 0.000 0.000 0.481
Tc1 Tc 0.500 0.500 0.743
```


No. 6
The following is a meta-GGA SCAN calculation of BaNaIn2 at its PBEsol-relaxed geometry, from the Alexandria database.

- ρ: 5217 kg/m³
- VASP energy: -27.9748 eV per atom
- Energy of formation: -0.340 eV per atom

Structure (CIF):
```
data_BaNaIn2
_chemical_formula_sum 'Ba4 Na4 In8'
_cell_length_a 7.918
_cell_length_b 7.918
_cell_length_c 7.918
_cell_angle_alpha 90.00
_cell_angle_beta 90.00
_cell_angle_gamma 90.00
_symmetry_space_group_name_H-M 'F m -3 m'
_symmetry_Int_Tables_number 225
_symmetry_space_group_name_Hall '-F 4 2 3'
loop_
_atom_site_label
_atom_site_type_symbol
_atom_site_fract_x
_atom_site_fract_y
_atom_site_fract_z
Ba1 Ba 0.000 0.000 0.000
Na1 Na 0.000 0.000 0.500
In1 In 0.250 0.250 0.250
```


No. 7
The following is a meta-GGA SCAN calculation of Ba3Bi2PbO9 at its PBEsol-relaxed geometry, from the Alexandria database.

- Formation energy from raw total energies: -43.50 kcal/mol of atoms
- ρ: 8028 kg/m³
- VASP energy: -29.0646 eV per atom

Structure (CIF):
```
data_Ba3Bi2PbO9
_chemical_formula_sum 'Ba12 Bi8 Pb4 O36'
_cell_length_a 10.613
_cell_length_b 6.117
_cell_length_c 15.055
_cell_angle_alpha 90.00
_cell_angle_beta 90.56
_cell_angle_gamma 90.00
_symmetry_space_group_name_H-M 'C 1 2/m 1'
_symmetry_Int_Tables_number 12
loop_
_symmetry_equiv_pos_as_xyz
'x,y,z'
'-x,-y,-z'
'-x,y,-z'
'x,-y,z'
'x+1/2,y+1/2,z'
'-x+1/2,-y+1/2,-z'
'-x+1/2,y+1/2,-z'
'x+1/2,-y+1/2,z'
loop_
_atom_site_label
_atom_site_type_symbol
_atom_site_fract_x
_atom_site_fract_y
_atom_site_fract_z
Ba1 Ba 0.002 0.000 0.246
Ba2 Ba 0.165 0.500 0.085
Ba3 Ba 0.168 0.500 0.583
Bi1 Bi 0.000 0.000 0.000
Bi2 Bi 0.000 0.000 0.500
Bi3 Bi 0.167 0.500 0.332
Pb1 Pb 0.167 0.500 0.834
O1 O 0.022 0.500 0.728
O2 O 0.059 0.250 0.905
O3 O 0.108 0.250 0.429
O4 O 0.143 0.000 0.606
O5 O 0.188 0.000 0.062
O6 O 0.225 0.249 0.237
```


No. 8
The following is a meta-GGA SCAN calculation of InSe at its PBEsol-relaxed geometry, from the Alexandria database.

- Formation energy from raw total energies: -14.03 kcal/mol of atoms
- ρ: 5512 kg/m³
- VASP energy: -27.3410 eV per atom

Structure (CIF):
```
data_InSe
_chemical_formula_sum 'In4 Se4'
_cell_length_a 3.9984
_cell_length_b 3.9984
_cell_length_c 16.8652
_cell_angle_alpha 90.00
_cell_angle_beta 90.00
_cell_angle_gamma 120.00
_symmetry_space_group_name_H-M 'P 63/m m c'
_symmetry_Int_Tables_number 194
_symmetry_space_group_name_Hall '-P 6c 2c'
loop_
_atom_site_label
_atom_site_type_symbol
_atom_site_fract_x
_atom_site_fract_y
_atom_site_fract_z
In1 In 0.3333 0.6667 0.1678
Se1 Se 0.3333 0.6667 0.5916
```


No. 9
The following is a meta-GGA SCAN calculation of DyCo3 at its PBEsol-relaxed geometry, from the Alexandria database.

- ρ: 10294 kg/m³
- VASP energy: -25.0290 eV per atom
- Energy of formation: -0.102 eV per atom

Structure (CIF):
```
data_DyCo3
_chemical_formula_sum 'Dy9 Co27'
_cell_length_a 4.8709
_cell_length_b 4.8709
_cell_length_c 23.9738
_cell_angle_alpha 90.00
_cell_angle_beta 90.00
_cell_angle_gamma 120.00
_symmetry_space_group_name_H-M 'R -3 m'
_symmetry_Int_Tables_number 166
_symmetry_space_group_name_Hall '-R 3 2"'
loop_
_atom_site_label
_atom_site_type_symbol
_atom_site_fract_x
_atom_site_fract_y
_atom_site_fract_z
Dy1 Dy 0.0000 0.0000 0.0000
Dy2 Dy 0.0000 0.0000 0.1398
Co1 Co 0.0000 0.0000 0.3345
Co2 Co 0.0000 0.0000 0.5000
Co3 Co 0.0016 0.5008 0.9188
```


No. 10
The following is a meta-GGA SCAN calculation of Ba2CdInRh at its PBEsol-relaxed geometry, from the Alexandria database.

- ρ: 5205 kg/m³
- VASP energy: -34.8948 eV per atom
- Energy of formation: 0.440 eV per atom

Structure (CIF):
```
data_Ba2CdInRh
_chemical_formula_sum 'Ba2 Cd1 In1 Rh1'
_cell_length_a 6.198
_cell_length_b 6.198
_cell_length_c 5.023
_cell_angle_alpha 90.00
_cell_angle_beta 90.00
_cell_angle_gamma 90.00
_symmetry_space_group_name_H-M 'P 4/m m m'
_symmetry_Int_Tables_number 123
_symmetry_space_group_name_Hall '-P 4 2'
loop_
_atom_site_label
_atom_site_type_symbol
_atom_site_fract_x
_atom_site_fract_y
_atom_site_fract_z
Ba1 Ba 0.000 0.500 0.000
Cd1 Cd 0.000 0.000 0.000
In1 In 0.000 0.000 0.500
Rh1 Rh 0.500 0.500 0.500
```


No. 11
The following is a meta-GGA SCAN calculation of NiBiAsBr2 at its PBEsol-relaxed geometry, from the Alexandria database.

- Formation energy from raw total energies: 19.14 kcal/mol of atoms
- ρ: 4912 kg/m³
- VASP energy: -29.9423 eV per atom

Structure (CIF):
```
data_NiBiAsBr2
_chemical_formula_sum 'Ni1 Bi1 As1 Br2'
_cell_length_a 5.500
_cell_length_b 5.500
_cell_length_c 5.616
_cell_angle_alpha 90.00
_cell_angle_beta 90.00
_cell_angle_gamma 90.00
_symmetry_space_group_name_H-M 'P 4/m m m'
_symmetry_Int_Tables_number 123
_symmetry_space_group_name_Hall '-P 4 2'
loop_
_atom_site_label
_atom_site_type_symbol
_atom_site_fract_x
_atom_site_fract_y
_atom_site_fract_z
Ni1 Ni 0.000 0.000 0.000
Bi1 Bi 0.500 0.500 0.500
As1 As 0.500 0.500 0.000
Br1 Br 0.000 0.500 0.500
```


No. 12
The following is a meta-GGA SCAN calculation of La5Co at its PBEsol-relaxed geometry, from the Alexandria database.

- Energy above the most stable polymorph in this dataset: 0.749 eV/atom
- ρ: 6666 kg/m³
- VASP energy: -38.0097 eV per atom
- Energy of formation: 0.795 eV per atom

Structure (CIF):
```
data_La5Co
_chemical_formula_sum 'La5 Co1'
_cell_length_a 6.0982
_cell_length_b 6.0982
_cell_length_c 5.8276
_cell_angle_alpha 90.00
_cell_angle_beta 90.00
_cell_angle_gamma 120.00
_symmetry_space_group_name_H-M 'P 6/m m m'
_symmetry_Int_Tables_number 191
_symmetry_space_group_name_Hall '-P 6 2'
loop_
_atom_site_label
_atom_site_type_symbol
_atom_site_fract_x
_atom_site_fract_y
_atom_site_fract_z
La1 La 0.0000 0.5000 0.0000
La2 La 0.3333 0.6667 0.5000
Co1 Co 0.0000 0.0000 0.5000
```